# 1
A plane-wave DFT calculation with PBE was carried out for Pr4Sm8Er3 after structural relaxation.

## Properties
* calculated formation energy: 344 meV/atom
* crystal system: monoclinic
* space group: C2/m (12)

The structure in POSCAR format:
```
Pr4Sm8Er3
1.0
6.8168 -6.4637 0.0000
6.8168 6.4637 0.0000
-3.4355 0.0000 5.9396
Pr Sm Er
4 8 3
Cartesian
0.0000 0.0000 0.0000
-1.7178 0.0000 2.9698
3.4084 3.2319 0.0000
3.4084 -3.2319 0.0000
6.8168 3.1580 0.0000
1.8167 0.0000 3.0795
3.5539 0.0000 0.3082
5.0990 1.8364 2.9698
5.0990 -1.8364 2.9698
6.6442 0.0000 5.6314
8.3814 0.0000 2.8601
6.8168 -3.1580 0.0000
1.6906 3.2319 2.9698
1.6906 -3.2319 2.9698
6.8168 0.0000 0.0000
```

# 2
A plane-wave DFT calculation with PBE was carried out for BaNaY2Fe after structural relaxation.

## Properties
* calculated formation energy: 1014 meV/atom
* crystal system: tetragonal
* space group: P4/mmm (123)

The structure in POSCAR format:
```
BaNaY2Fe
1.0
5.6999 0.0000 0.0000
0.0000 5.6999 0.0000
0.0000 0.0000 4.9006
Ba Na Y Fe
1 1 2 1
Cartesian
0.0000 0.0000 0.0000
2.8500 2.8500 2.4503
0.0000 2.8500 2.4503
2.8500 0.0000 2.4503
2.8500 2.8500 0.0000
```

# 3
A plane-wave DFT calculation with PBE was carried out for Hg3PdF6 after structural relaxation.

## Properties
* formation energy without anion corrections: -11.485 eV/f.u.
* crystal system: monoclinic
* space group: P2_1/c (14)

The structure in POSCAR format:
```
Hg3PdF6
1.0
6.1644 0.0000 0.0000
0.0000 5.5687 0.0000
-4.5823 0.0000 10.3702
Hg Pd F
6 2 12
Cartesian
0.0000 0.0000 0.0000
-2.2911 2.7844 5.1851
-1.8612 0.7941 7.3186
0.4299 1.9903 2.1335
1.1522 3.5784 8.2367
3.4433 4.7746 3.0516
0.7911 0.0000 5.1851
3.0822 2.7844 0.0000
-1.2666 0.8913 3.2813
-3.5577 1.8930 8.4664
2.0170 3.8483 1.3204
-0.2741 4.5047 6.5055
2.4499 1.2182 1.0656
0.1587 1.5661 6.2507
1.4234 4.0026 4.1195
-0.8677 4.3505 9.3047
1.8562 1.0640 3.8647
-0.4349 1.7204 9.0499
5.1399 3.6757 1.9038
2.8487 4.6774 7.0889
```

# 4
A plane-wave DFT calculation with PBE was carried out for LaZrAs2 after structural relaxation.

## Properties
* calculated formation energy: -1071 meV/atom
* crystal system: orthorhombic
* excess energy over the best structure of this formula in the dataset: 104 kJ/mol of formula units
* space group: Imm2 (44)

The structure in POSCAR format:
```
LaZrAs2
1.0
-1.8344 1.9088 7.0621
1.8344 -1.9088 7.0621
1.8344 1.9088 -7.0621
La Zr As
1 1 2
Cartesian
0.0000 0.0000 0.0000
1.8344 0.0000 3.5255
0.0000 0.0000 5.5477
0.0000 1.9088 2.4553
```

# 5
A plane-wave DFT calculation with PBE was carried out for Pa2CdNi after structural relaxation.

## Properties
* calculated formation energy: -80 meV/atom
* crystal system: tetragonal
* excess energy over the best structure of this formula in the dataset: 0 kJ/mol of formula units
* space group: P4/mmm (123)

The structure in POSCAR format:
```
Pa2CdNi
1.0
3.1014 0.0000 0.0000
0.0000 3.1014 0.0000
0.0000 0.0000 8.7766
Pa Cd Ni
2 1 1
Cartesian
0.0000 0.0000 1.8555
0.0000 0.0000 6.9211
1.5507 1.5507 4.3883
1.5507 1.5507 0.0000
```

# 6
A plane-wave DFT calculation with PBE was carried out for La2HgRu after structural relaxation.

## Properties
* calculated formation energy: -236 meV/atom
* crystal system: orthorhombic
* space group: Cmmm (65)

The structure in POSCAR format:
```
La2HgRu
1.0
3.7213 -3.7261 0.0000
3.7213 3.7261 0.0000
0.0000 0.0000 3.7493
La Hg Ru
2 1 1
Cartesian
1.8606 1.8630 0.0000
1.8606 -1.8630 0.0000
0.0000 0.0000 1.8746
3.7213 0.0000 1.8746
```

# 7
A plane-wave DFT calculation with PBE was carried out for Sm5Co2Br2 after structural relaxation.

## Properties
* formation energy without anion corrections: -5.087 eV/f.u.
* crystal system: orthorhombic
* space group: Cmce (64)

The structure in POSCAR format:
```
Sm5Co2Br2
1.0
8.0126 -3.8605 0.0000
8.0126 3.8605 0.0000
0.0000 0.0000 7.7297
Sm Co Br
10 4 4
Cartesian
0.0000 0.0000 0.0000
6.2436 2.6700 5.0544
6.2436 1.1905 1.1896
9.7816 2.6700 5.0544
9.7816 1.1905 1.1896
8.0126 0.0000 3.8648
6.2436 -1.1905 6.5401
6.2436 -2.6700 2.6752
9.7816 -1.1905 6.5401
9.7816 -2.6700 2.6752
8.0126 2.7693 2.7919
8.0126 1.0912 6.6567
8.0126 -1.0912 1.0730
8.0126 -2.7693 4.9378
3.3742 0.0000 0.0000
4.6384 0.0000 3.8648
11.3868 0.0000 3.8648
12.6510 0.0000 0.0000
```

# 8
A plane-wave DFT calculation with PBE was carried out for Fe3AgI9 after structural relaxation.

## Properties
* formation energy without anion corrections: -0.258 eV/f.u.
* crystal system: monoclinic
* space group: P2_1/m (11)

The structure in POSCAR format:
```
Fe3AgI9
1.0
7.0986 0.0000 0.0000
0.0000 10.6090 0.0000
-0.6294 0.0000 11.4809
Fe Ag I
6 2 18
Cartesian
0.0000 0.0000 0.0000
0.0000 5.3045 0.0000
2.8970 0.0032 7.8385
2.8970 5.3013 7.8385
3.5722 10.6058 3.6424
3.5722 5.3077 3.6424
0.0707 2.6522 5.2938
6.3984 7.9567 6.1871
0.3367 2.6522 11.2663
0.5820 6.0379 9.0734
0.5820 9.8756 9.0734
1.5314 5.9790 5.4458
1.5314 9.9344 5.4458
1.7718 2.6522 7.6366
2.3082 6.0209 1.3919
2.3082 9.8926 1.3919
2.4169 2.6522 3.5186
4.0522 7.9567 7.9623
4.1610 0.7164 10.0890
4.1610 4.5881 10.0890
4.6973 7.9567 3.8443
4.9377 0.6746 6.0351
4.9377 4.6299 6.0351
5.8871 0.7334 2.4075
5.8871 4.5711 2.4075
6.1325 7.9567 0.2146
```

# 9
A plane-wave DFT calculation with PBE was carried out for MgTeAsN2 after structural relaxation.

## Properties
* formation energy without anion corrections: 6.668 eV/f.u.
* crystal system: tetragonal
* excess energy over the best structure of this formula in the dataset: 168 kJ/mol of formula units
* space group: P4/mmm (123)

The structure in POSCAR format:
```
MgTeAsN2
1.0
4.1770 0.0000 0.0000
0.0000 4.1770 0.0000
0.0000 0.0000 6.0371
Mg Te As N
1 1 1 2
Cartesian
0.0000 0.0000 0.0000
0.0000 0.0000 3.0186
2.0885 2.0885 3.0186
0.0000 2.0885 0.0000
2.0885 0.0000 0.0000
```

# 10
A plane-wave DFT calculation with PBE was carried out for SnH2Os after structural relaxation.

## Properties
* crystal system: tetragonal
* excess energy over the best structure of this formula in the dataset: 0 kJ/mol of formula units
* space group: I4_1/amd (141)

The structure in POSCAR format:
```
SnH2Os
1.0
-1.9752 1.9752 6.0455
1.9752 -1.9752 6.0455
1.9752 1.9752 -6.0455
Sn H Os
2 4 2
Cartesian
1.9752 0.9876 1.5114
0.0000 0.9876 4.5341
0.0000 0.0000 0.0000
0.9876 0.9876 -3.0227
0.9876 -0.9876 3.0227
0.0000 1.9752 0.0000
1.9752 -0.9876 4.5341
0.0000 2.9627 1.5114
```

# 11
A plane-wave DFT calculation with PBE was carried out for AlAgOs2 after structural relaxation.

## Properties
* calculated formation energy: 341 meV/atom
* crystal system: orthorhombic
* space group: Imm2 (44)

The structure in POSCAR format:
```
AlAgOs2
1.0
-1.4728 2.2599 4.5026
1.4728 -2.2599 4.5026
1.4728 2.2599 -4.5026
Al Ag Os
1 1 2
Cartesian
0.0000 0.0000 0.0000
0.0000 2.2599 2.2761
1.4728 0.0000 2.1293
0.0000 0.0000 4.2987
```

# 12
A plane-wave DFT calculation with PBE was carried out for La2DyScS6 after structural relaxation.

## Properties
* formation energy without anion corrections: -21.058 eV/f.u.
* crystal system: monoclinic
* space group: P2_1/c (14)

The structure in POSCAR format:
```
La2DyScS6
1.0
6.7031 0.0000 0.0000
0.0000 7.3229 0.0000
-6.5758 0.0000 9.8516
La Dy Sc S
4 2 2 12
Cartesian
-0.2013 0.6800 2.4460
-3.4891 2.9815 7.3717
3.6165 4.3414 2.4798
0.3286 6.6429 7.4056
3.3516 0.0000 0.0000
0.0637 3.6615 4.9258
-3.2879 0.0000 4.9258
0.0000 3.6615 0.0000
-5.4150 1.4211 9.1980
-2.1271 2.2403 4.2722
-4.4950 5.0045 9.2074
-1.2071 5.9799 4.2816
-2.3702 0.3249 7.3130
0.9176 3.3366 2.3872
-0.7903 3.9863 7.4643
2.4976 6.9980 2.5386
1.3345 1.3430 5.5700
4.6224 2.3184 0.6442
2.2544 5.0826 5.5794
5.5423 5.9018 0.6536
```

| no. | calculated volume (Å³/cell) |
| --- | --- |
| 1 | 523.4 |
| 2 | 159.2 |
| 3 | 356.0 |
| 4 | 98.9 |
| 5 | 84.4 |
| 6 | 104.0 |
| 7 | 478.2 |
| 8 | 864.6 |
| 9 | 105.3 |
| 10 | 94.3 |
| 11 | 59.9 |
| 12 | 483.6 |